Crystalline CsCu2BiCl6 at its relaxed geometry. Source: Alexandria, functional PBE.

Structure (CIF):
```
data_CsCu2BiCl6
_chemical_formula_sum 'Cs1 Cu2 Bi1 Cl6'
_space_group_name_H-M_alt 'P 1'
_space_group_IT_number 1
_cell_length_a 7.139
_cell_length_b 7.139
_cell_length_c 8.703
_cell_angle_alpha 114.05
_cell_angle_beta 90.04
_cell_angle_gamma 119.73
loop_
_space_group_symop_operation_xyz
'x,y,z'
loop_
_atom_site_label
_atom_site_type_symbol
_atom_site_fract_x
_atom_site_fract_y
_atom_site_fract_z
_atom_site_occupancy
Cs1 Cs 0.000 0.000 0.000 1
Cu1 Cu 0.229 0.463 0.694 1
Cu2 Cu 0.770 0.535 0.305 1
Bi1 Bi 0.500 0.000 0.500 1
Cl1 Cl 0.099 0.575 0.288 1
Cl2 Cl 0.281 0.186 0.708 1
Cl3 Cl 0.480 0.194 0.288 1
Cl4 Cl 0.520 0.804 0.711 1
Cl5 Cl 0.721 0.815 0.293 1
Cl6 Cl 0.901 0.425 0.712 1
```

Computed properties:
D(E_F): 0.000 states/eV/atom


Crystalline CsBiCl2F at its relaxed geometry. Source: Alexandria, functional PBE.

Structure (CIF):
```
data_CsBiCl2F
_chemical_formula_sum 'Cs1 Bi1 Cl2 F1'
_space_group_name_H-M_alt 'P 4/m m m'
_space_group_IT_number 123
_space_group_name_Hall '-P 4 2'
_cell_length_a 5.903
_cell_length_b 5.903
_cell_length_c 4.640
_cell_angle_alpha 90.00
_cell_angle_beta 90.00
_cell_angle_gamma 90.00
loop_
_atom_site_label
_atom_site_type_symbol
_atom_site_fract_x
_atom_site_fract_y
_atom_site_fract_z
_atom_site_occupancy
Cs1 Cs 0.000 0.000 0.000 1
Bi1 Bi 0.500 0.500 0.500 1
Cl1 Cl 0.000 0.500 0.500 1
F1 F 0.500 0.500 0.000 1
```

Computed properties:
D(E_F): 0.449 states/eV/atom


Crystalline Cs2BiCl2F4 at its relaxed geometry. Source: Alexandria, functional PBE.

Structure (CIF):
```
data_Cs2BiCl2F4
_chemical_formula_sum 'Cs4 Bi2 Cl4 F8'
_space_group_name_H-M_alt 'I 4/m m m'
_space_group_IT_number 139
_space_group_name_Hall '-I 4 2'
_cell_length_a 7.460
_cell_length_b 7.460
_cell_length_c 8.424
_cell_angle_alpha 90.00
_cell_angle_beta 90.00
_cell_angle_gamma 90.00
loop_
_atom_site_label
_atom_site_type_symbol
_atom_site_fract_x
_atom_site_fract_y
_atom_site_fract_z
_atom_site_occupancy
Cs1 Cs 0.000 0.500 0.250 1
Bi1 Bi 0.000 0.000 0.000 1
Cl1 Cl 0.000 0.000 0.309 1
F1 F 0.207 0.207 0.000 1
```

Computed properties:
D(E_F): 0.290 states/eV/atom


Crystalline CsFeBiCl6 at its relaxed geometry. Source: Alexandria, functional PBE.

Structure (CIF):
```
data_CsFeBiCl6
_chemical_formula_sum 'Cs2 Fe2 Bi2 Cl12'
_space_group_name_H-M_alt 'C 1 2 1'
_space_group_IT_number 5
_cell_length_a 6.902
_cell_length_b 11.964
_cell_length_c 7.693
_cell_angle_alpha 90.00
_cell_angle_beta 90.14
_cell_angle_gamma 90.00
loop_
_space_group_symop_operation_xyz
'x,y,z'
'-x,y,-z'
'x+1/2,y+1/2,z'
'-x+1/2,y+1/2,-z'
loop_
_atom_site_label
_atom_site_type_symbol
_atom_site_fract_x
_atom_site_fract_y
_atom_site_fract_z
_atom_site_occupancy
Cs1 Cs 0.000 0.000 0.000 1
Fe1 Fe 0.000 0.667 0.500 1
Bi1 Bi 0.000 0.334 0.500 1
Cl1 Cl 0.118 0.513 0.694 1
Cl2 Cl 0.170 0.804 0.692 1
Cl3 Cl 0.208 0.183 0.692 1
```

Computed properties:
D(E_F): 0.754 states/eV/atom


no.,formation energy (no corrections) (eV per atom),volume (Å³/atom)
1,-0.9868,34.001
2,-1.5475,32.336
3,-2.0916,26.047
4,-1.1414,35.288